Version P
Crystalline Ir2RhW at its relaxed geometry. Source: the Alexandria database, functional GGA-PBE.

Unit cell a=6.231 b=6.231 c=6.231 alpha=90.00 beta=90.00 gamma=90.00
Space group F-43m (No. 216)
Unique sites:
Ir (0.000, 0.000, 0.000) (multiplicity 4)
Ir (0.250, 0.250, 0.250) (multiplicity 4)
Rh (0.000, 0.000, 0.500) (multiplicity 4)
W (0.250, 0.250, 0.750) (multiplicity 4)

Version Q
Crystalline Ir2RhW at its relaxed geometry. Source: the Alexandria database, functional GGA-PBE.

Unit cell a=2.7655 b=2.7655 c=26.9196 alpha=90.00 beta=90.00 gamma=120.00
Space group R3m (No. 160, hexagonal axes)
Unique sites:
Ir (0.0000, 0.0000, 0.0000) (multiplicity 3)
Ir (0.0000, 0.0000, 0.2494) (multiplicity 3)
Rh (0.0000, 0.0000, 0.7506) (multiplicity 3)
W (0.0000, 0.0000, 0.4998) (multiplicity 3)

Version R
Crystalline Ir2RhW at its relaxed geometry. Source: the Alexandria database, functional GGA-PBE.

Unit cell a=5.493 b=7.779 c=2.765 alpha=90.00 beta=90.00 gamma=90.00
Space group Cmmm (No. 65)
Unique sites:
Ir (0.250, 0.250, 0.000) (multiplicity 4)
Rh (0.000, 0.000, 0.500) (multiplicity 2)
W (0.000, 0.500, 0.500) (multiplicity 2)

version R comes first in stability; the runner-up is 154 meV/atom higher.

Version P
Crystalline Ir2RhW at its relaxed geometry. Source: the Alexandria database, functional GGA-PBE.

Unit cell a=2.768 b=2.768 c=7.755 alpha=90.00 beta=90.00 gamma=90.00
Space group P4/mmm (No. 123)
Unique sites:
Ir (0.000, 0.000, 0.247) (multiplicity 2)
Rh (0.500, 0.500, 0.500) (multiplicity 1)
W (0.500, 0.500, 0.000) (multiplicity 1)

Version Q
Crystalline Ir2RhW at its relaxed geometry. Source: the Alexandria database, functional GGA-PBE.

Unit cell a=2.749 b=3.889 c=5.529 alpha=90.00 beta=90.00 gamma=90.00
Space group Pmmm (No. 47)
Unique sites:
Ir (0.000, 0.000, 0.248) (multiplicity 2)
Rh (0.500, 0.500, 0.000) (multiplicity 1)
W (0.500, 0.500, 0.500) (multiplicity 1)

version Q comes first in stability; the runner-up is 54 meV/atom higher.